## Nd2As3Pd6 (PBE)

Data for Nd2As3Pd6 after structural relaxation.

Output
Final energy in eV per cell: -63.48

Cell lengths 7.500, 7.500, 4.313 Å; angles 90.00, 90.00, 120.00 degrees
Atoms (fractional coordinates):
Nd: 0.333 0.667 0.000
Nd: 0.667 0.333 0.000
As: 0.000 0.630 0.500
As: 0.370 0.370 0.500
As: 0.630 0.000 0.500
Pd: 0.000 0.301 0.500
Pd: 0.000 0.791 0.000
Pd: 0.209 0.209 0.000
Pd: 0.301 0.000 0.500
Pd: 0.699 0.699 0.500
Pd: 0.791 0.000 0.000